No. 1
Sm2CoSi (PBE, optimized geometry); ΔE_f (raw) = -0.4551 eV/atom; symmetry = P2_1/m, No. 11; polymorph energy (0 for the lowest one) = 0.003 eV per atom
1.0
4.175 0.000 0.000
0.000 5.746 -0.053
0.000 -2.939 7.577
Sm Si Co
4 2 2
direct
0.750 0.223 0.443
0.750 0.221 0.915
0.250 0.779 0.085
0.250 0.777 0.557
0.750 0.646 0.789
0.250 0.354 0.211
0.250 0.438 0.731
0.750 0.562 0.269

=====

No. 2
Ir2WSe (PBE, optimized geometry); ΔE_f (raw) = 0.4391 eV/atom; symmetry = F-43m, No. 216; polymorph energy (0 for the lowest one) = 0.356 eV per atom
1.0
-2.728 -2.431 -2.529
3.488 -1.521 -2.295
-0.104 -0.425 4.422
W Se Ir
1 1 2
direct
0.750 0.250 0.500
0.500 0.500 0.000
0.000 0.000 0.000
0.250 0.750 0.500